RbReTe (PBE, relaxed); polymorph energy (0 for the lowest one) = 15 meV/atom; theoretical density = 6268 kg/m3; DOS(E_F) = 6.679 states/eV per cell; DFT total energy = -5.42 eV/atom; ΔE_f (raw) = 28 kJ/mol of formula units; SG = No. 5; crystal system = monoclinic
1.0
3.9969 0.0000 -0.0056
0.0000 4.4690 0.0000
-3.9547 0.0000 23.6943
Rb Re Te
4 4 4
Direct
0.3436 0.2390 0.3426 Rb
0.6564 0.2390 0.6574 Rb
0.6564 0.7390 0.1574 Rb
0.3436 0.7390 0.8426 Rb
0.5000 0.0265 0.0000 Re
0.0000 0.6949 0.0000 Re
0.0000 0.1949 0.5000 Re
0.5000 0.5265 0.5000 Re
0.9273 0.7371 0.4271 Te
0.0727 0.2371 0.0729 Te
0.9273 0.2371 0.9271 Te
0.0727 0.7371 0.5729 Te



HfTcH2 (PBE, relaxed); polymorph energy (0 for the lowest one) = 0 meV/atom; theoretical density = 11723 kg/m3; DOS(E_F) = 8.641 states/eV per cell; DFT total energy = -7.00 eV/atom; SG = No. 62; crystal system = orthorhombic
1.0
-1.4005 0.4968 2.7132
1.7683 -4.2623 1.6932
8.4669 4.8929 3.4744
Tc Hf H
4 4 8
Direct
0.2500 0.6131 0.1041 Tc
0.2500 0.1131 0.3959 Tc
0.7500 0.3869 0.8959 Tc
0.7500 0.8869 0.6041 Tc
0.7500 0.0860 0.1374 Hf
0.2500 0.9140 0.8626 Hf
0.7500 0.5860 0.3626 Hf
0.2500 0.4140 0.6374 Hf
0.2500 0.7688 0.5038 H
0.2500 0.8345 0.2534 H
0.2500 0.2688 0.9962 H
0.2500 0.3345 0.2466 H
0.7500 0.7312 0.0038 H
0.7500 0.1655 0.7466 H
0.7500 0.2312 0.4962 H
0.7500 0.6655 0.7534 H



AcLa8Ir4 (PBE, relaxed); theoretical density = 7813 kg/m3; DOS(E_F) = 9.601 states/eV per cell; DFT total energy = -6.63 eV/atom; SG = No. 12; crystal system = monoclinic; energy of formation = -0.56 eV/atom
1.0
-1.2384 -4.0488 0.3963
8.7594 -4.6070 3.1204
-2.2048 -0.5412 10.3950
La Ac Ir
8 1 4
Direct
0.2201 0.6628 0.8970 La
0.8114 0.3404 0.0369 La
0.4707 0.3489 0.7098 La
0.1816 0.0119 0.6249 La
0.1491 0.3240 0.3779 La
0.5608 0.6545 0.2240 La
0.8821 0.6797 0.5560 La
0.8498 0.9916 0.3087 La
0.5159 0.0015 0.9668 Ac
0.8485 0.5099 0.7931 Ir
0.3719 0.8292 0.4270 Ir
0.6595 0.1743 0.5066 Ir
0.1830 0.4934 0.1407 Ir



ZrTlSe (PBE, relaxed); polymorph energy (0 for the lowest one) = 623 meV/atom; theoretical density = 7868 kg/m3; DOS(E_F) = 4.701 states/eV per cell; DFT total energy = -4.79 eV/atom; ΔE_f (raw) = 2 kJ/mol of formula units; SG = No. 216; crystal system = cubic
1.0
4.8173 0.0000 0.0000
2.4086 4.1719 0.0000
2.4086 1.3906 3.9333
Tl Se Zr
1 1 1
Direct
0.5000 0.5000 0.5000 Tl
0.0000 0.0000 0.0000 Se
0.7500 0.7500 0.7500 Zr



Sr8Bi5H (PBE, relaxed); theoretical density = 5556 kg/m3; DFT total energy = -3.40 eV/atom; SG = No. 82; crystal system = tetragonal
1.0
-0.6292 -2.5691 8.3799
7.2268 -3.3913 -3.6731
0.3635 8.7787 -0.1441
Sr Bi H
8 5 1
Direct
0.1105 0.7630 0.5042 Sr
0.6526 0.3938 0.8895 Sr
0.6088 0.8772 0.8591 Sr
0.1409 0.7496 0.0181 Sr
0.7412 0.2370 0.3474 Sr
0.4958 0.6062 0.2588 Sr
0.2685 0.2504 0.3912 Sr
0.9819 0.1228 0.7315 Sr
0.7573 0.6208 0.6372 Bi
0.5000 0.0000 0.5000 Bi
0.3628 0.1201 0.9836 Bi
0.0164 0.3792 0.1365 Bi
0.8635 0.8799 0.2427 Bi
0.2500 0.5000 0.7500 H



KSc2Fe (PBE, relaxed); polymorph energy (0 for the lowest one) = 757 meV/atom; theoretical density = 3186 kg/m3; DOS(E_F) = 4.754 states/eV per cell; DFT total energy = -4.65 eV/atom; SG = No. 123; crystal system = tetragonal; energy of formation = 0.90 eV/atom
1.0
4.6650 0.0152 0.0000
-0.0158 4.6650 0.0000
0.0000 0.0000 4.4271
Sc Fe K
2 1 1
Direct
0.0000 0.0000 0.0000 Sc
0.5000 0.5000 0.0000 Sc
0.5000 0.0000 0.5000 Fe
0.0000 0.5000 0.5000 K



KCaZnS2 (PBE, relaxed); theoretical density = 2383 kg/m3; DOS(E_F) = 3.837 states/eV per cell; DFT total energy = -3.52 eV/atom; ΔE_f (raw) = -478 kJ/mol of formula units; SG = No. 13; crystal system = monoclinic
1.0
-4.3633 1.4514 -1.9517
0.3226 -5.4708 -4.7898
-3.9380 -3.7443 6.0196
S K Zn Ca
4 2 2 2
Direct
0.3149 0.2330 0.0324 S
0.3149 0.7670 0.4676 S
0.6851 0.2330 0.5324 S
0.6851 0.7670 0.9676 S
0.1561 0.5000 0.7500 K
0.8439 0.5000 0.2500 K
0.0000 0.0000 0.0000 Zn
0.0000 0.0000 0.5000 Zn
0.5082 0.0000 0.7500 Ca
0.4918 0.0000 0.2500 Ca



Tl3Au5Cl12 (PBE, relaxed); theoretical density = 5699 kg/m3; DOS(E_F) = 50.636 states/eV per cell; DFT total energy = -2.65 eV/atom; ΔE_f (raw) = -717 kJ/mol of formula units; SG = No. 230; crystal system = cubic
1.0
14.5239 0.0000 0.0000
-4.8413 13.6933 0.0000
-4.8413 -6.8466 11.8587
Cl Au Tl
48 20 12
Direct
0.8102 0.3260 0.9231 Cl
0.3260 0.8102 0.4231 Cl
0.8260 0.9231 0.3102 Cl
0.4028 0.3870 0.5769 Cl
0.9231 0.0972 0.6130 Cl
0.6898 0.1130 0.0158 Cl
0.9028 0.0769 0.8870 Cl
0.0972 0.9231 0.1130 Cl
0.0769 0.1740 0.1898 Cl
0.6130 0.0158 0.1898 Cl
0.4028 0.0158 0.3260 Cl
0.3102 0.8870 0.9842 Cl
0.5158 0.3260 0.9028 Cl
0.1898 0.5158 0.6130 Cl
0.5158 0.1898 0.1130 Cl
0.9842 0.5972 0.1740 Cl
0.1740 0.0769 0.6898 Cl
0.3102 0.4231 0.8260 Cl
0.9231 0.8260 0.8102 Cl
0.8260 0.9028 0.0158 Cl
0.3870 0.9842 0.8102 Cl
0.6740 0.1898 0.5769 Cl
0.4231 0.3102 0.3260 Cl
0.8870 0.3102 0.4842 Cl
0.3260 0.5158 0.4028 Cl
0.3870 0.4028 0.0769 Cl
0.6130 0.5972 0.9231 Cl
0.5769 0.8870 0.4028 Cl
0.1898 0.6740 0.0769 Cl
0.1130 0.4231 0.0972 Cl
0.5972 0.6130 0.4231 Cl
0.1130 0.6898 0.5158 Cl
0.5972 0.9842 0.6740 Cl
0.6898 0.5769 0.1740 Cl
0.8870 0.5769 0.9028 Cl
0.4842 0.6740 0.0972 Cl
0.1740 0.0972 0.9842 Cl
0.9028 0.8260 0.5158 Cl
0.0158 0.6130 0.6898 Cl
0.5769 0.6898 0.6740 Cl
0.0158 0.4028 0.8260 Cl
0.6740 0.4842 0.5972 Cl
0.4842 0.8102 0.8870 Cl
0.8102 0.4842 0.3870 Cl
0.0972 0.1740 0.4842 Cl
0.4231 0.1130 0.5972 Cl
0.9842 0.3870 0.3102 Cl
0.0769 0.9028 0.3870 Cl
0.1250 0.3750 0.2500 Au
0.5000 0.5000 0.0000 Au
0.0000 0.5000 0.5000 Au
0.0000 0.5000 0.0000 Au
0.8750 0.2500 0.6250 Au
0.2500 0.3750 0.6250 Au
0.5000 0.5000 0.5000 Au
0.3750 0.1250 0.7500 Au
0.1250 0.7500 0.3750 Au
0.0000 0.0000 0.5000 Au
0.5000 0.0000 0.5000 Au
0.7500 0.6250 0.3750 Au
0.0000 0.0000 0.0000 Au
0.7500 0.1250 0.8750 Au
0.6250 0.8750 0.2500 Au
0.8750 0.6250 0.7500 Au
0.2500 0.8750 0.1250 Au
0.3750 0.2500 0.1250 Au
0.5000 0.0000 0.0000 Au
0.6250 0.7500 0.8750 Au
0.3750 0.7500 0.6250 Tl
0.8750 0.7500 0.1250 Tl
0.6250 0.3750 0.7500 Tl
0.7500 0.8750 0.6250 Tl
0.1250 0.8750 0.7500 Tl
0.7500 0.3750 0.1250 Tl
0.2500 0.1250 0.3750 Tl
0.6250 0.2500 0.3750 Tl
0.2500 0.6250 0.8750 Tl
0.1250 0.2500 0.8750 Tl
0.3750 0.6250 0.2500 Tl
0.8750 0.1250 0.2500 Tl



Ba2PCl (PBE, relaxed); polymorph energy (0 for the lowest one) = 0 meV/atom; theoretical density = 3894 kg/m3; DFT total energy = -4.44 eV/atom; ΔE_f (raw) = -642 kJ/mol of formula units; SG = No. 166; crystal system = trigonal
1.0
8.1707 0.0093 0.0057
6.8333 4.4795 0.0057
6.8333 2.0442 3.9858
Ba P Cl
2 1 1
Direct
0.2405 0.2405 0.2405 Ba
0.7595 0.7595 0.7595 Ba
0.5000 0.5000 0.5000 P
0.0000 0.0000 0.0000 Cl



CrMoSe2 (PBE, relaxed); polymorph energy (0 for the lowest one) = 355 meV/atom; theoretical density = 7035 kg/m3; DOS(E_F) = 3.127 states/eV per cell; DFT total energy = -6.79 eV/atom; ΔE_f (raw) = 25 kJ/mol of formula units; SG = No. 166; crystal system = trigonal
1.0
-2.9902 -0.1040 -6.8578
0.0777 -1.4855 -7.3328
-2.4870 -3.3966 -6.1855
Cr Mo Se
1 1 2
Direct
0.2500 0.2500 0.2500 Cr
0.7500 0.7500 0.7500 Mo
0.0018 0.0018 0.0018 Se
0.4982 0.4982 0.4982 Se



ZnGeCl6 (PBE, relaxed); theoretical density = 3216 kg/m3; DFT total energy = -2.86 eV/atom; ΔE_f (raw) = -569 kJ/mol of formula units; SG = No. 148; crystal system = trigonal
1.0
6.1805 0.0082 0.0075
3.0836 5.3568 0.0114
3.0810 1.7808 5.4806
Cl Ge Zn
6 1 1
Direct
0.6121 0.2368 0.2438 Cl
0.2368 0.9072 0.2439 Cl
0.0927 0.3879 0.7562 Cl
0.7632 0.0928 0.7561 Cl
0.3879 0.7632 0.7562 Cl
0.9073 0.6121 0.2438 Cl
0.0000 0.0000 0.0000 Ge
0.5000 0.5000 0.5000 Zn



Ga3Cu (PBE, relaxed); theoretical density = 6956 kg/m3; DOS(E_F) = 1.675 states/eV per cell; DFT total energy = -3.24 eV/atom; SG = No. 139; crystal system = tetragonal; energy of formation = 0.05 eV/atom
1.0
-2.7116 -2.9907 -0.0609
2.9871 -2.7028 -0.2702
0.0199 2.6227 4.1501
Cu Ga
1 3
Direct
0.0000 0.0000 0.0000 Cu
0.7500 0.2500 0.5000 Ga
0.2500 0.7500 0.5000 Ga
0.5000 0.5000 0.0000 Ga